(1)
HgRh2Au after structural relaxation. Source: Alexandria, functional GGA-PBE.

POSCAR file:
```
HgRh2Au
1.0
-4.475 -4.307 -4.043
-3.811 -1.770 6.105
-5.796 -0.927 0.611
Rh Au Hg
4 2 2
direct
0.620 0.125 0.250
0.130 0.625 0.250
0.875 0.870 0.750
0.375 0.380 0.750
0.250 0.750 0.500
0.500 0.500 0.000
0.750 0.250 0.500
0.000 0.000 0.000
```

Symmetry   I-42d, No. 122
ΔE_f   581 meV/atom

---

(2)
Hg3RhAu after structural relaxation. Source: Alexandria, functional GGA-PBE.

POSCAR file:
```
Hg3RhAu
1.0
-0.054 -5.048 1.357
4.286 0.734 2.902
-2.992 1.143 4.132
Rh Hg Au
1 3 1
direct
0.500 0.500 0.500
0.500 0.000 0.000
0.000 0.500 0.000
0.000 0.000 0.500
0.000 0.000 0.000
```

ΔE to the lowest computed polymorph   36.4 kJ per mole of atoms
Symmetry   Pm-3m, No. 221
ΔE_f   860 meV/atom

---

(3)
HgRhAu2 after structural relaxation. Source: Alexandria, functional GGA-PBE.

POSCAR file:
```
HgRhAu2
1.0
-0.113 -3.756 -3.434
1.626 -4.710 -1.041
-3.702 -2.681 1.622
Au Rh Hg
2 1 1
direct
0.257 0.257 0.740
0.743 0.743 0.260
0.000 0.000 0.500
0.500 0.500 0.000
```

Symmetry   C2/m, No. 12
ΔE_f   141 meV/atom

---

(4)
HgRh2Au after structural relaxation. Source: Alexandria, functional GGA-PBE.

POSCAR file:
```
HgRh2Au
1.0
-2.530 -0.088 1.308
1.356 -2.452 -0.521
4.336 0.609 8.426
Rh Au Hg
2 1 1
direct
0.000 0.000 0.252
0.000 0.000 0.748
0.500 0.500 0.500
0.500 0.500 0.000
```

Symmetry   Cmmm, No. 65
ΔE_f   316 meV/atom

---

(5)
HgRhAu2 after structural relaxation. Source: Alexandria, functional GGA-PBE.

POSCAR file:
```
HgRhAu2
1.0
-1.559 2.411 4.756
1.559 -2.411 4.756
1.559 2.411 -4.756
Au Hg Rh
2 1 1
direct
0.005 0.005 0.000
0.751 0.251 0.500
0.494 0.494 0.000
0.250 0.750 0.500
```

Symmetry   Imm2, No. 44
ΔE_f   172 meV/atom

---

(6)
HgRhAu2 after structural relaxation. Source: Alexandria, functional GGA-PBE.

POSCAR file:
```
HgRhAu2
1.0
0.000 3.288 3.288
3.288 0.000 3.288
3.288 3.288 0.000
Au Hg Rh
2 1 1
direct
0.000 0.000 0.000
0.250 0.250 0.250
0.500 0.500 0.500
0.750 0.750 0.750
```

Symmetry   F-43m, No. 216
ΔE_f   134 meV/atom

---

(7)
HgRh2Au after structural relaxation. Source: Alexandria, functional GGA-PBE.

POSCAR file:
```
HgRh2Au
1.0
0.454 -3.393 3.522
2.472 -1.348 4.024
-2.900 1.995 3.535
Rh Au Hg
2 1 1
direct
0.007 0.007 0.978
0.744 0.744 0.768
0.495 0.495 0.504
0.254 0.254 0.250
```

Symmetry   Cm, No. 8
ΔE_f   195 meV/atom

---

(8)
Hg2Rh2Au after structural relaxation. Source: Alexandria, functional GGA-PBE.

POSCAR file:
```
Hg2Rh2Au
1.0
6.883 0.000 0.000
0.000 6.883 0.000
0.000 0.000 3.990
Rh Au Hg
4 2 4
direct
0.869 0.631 0.000
0.131 0.369 0.000
0.631 0.131 0.000
0.369 0.869 0.000
0.500 0.500 0.000
0.000 0.000 0.000
0.670 0.830 0.500
0.330 0.170 0.500
0.170 0.670 0.500
0.830 0.330 0.500
```

Symmetry   P4/mbm, No. 127
ΔE_f   192 meV/atom

---

(9)
HgRhAu2 after structural relaxation. Source: Alexandria, functional GGA-PBE.

POSCAR file:
```
HgRhAu2
1.0
-2.033 -2.274 3.988
-4.918 1.013 -0.003
2.978 -1.788 -3.625
Au Rh Hg
2 1 1
direct
0.250 0.750 0.500
0.750 0.250 0.500
0.000 0.000 0.000
0.500 0.500 0.000
```

Symmetry   I4/mmm, No. 139
ΔE_f   145 meV/atom

---

(10)
HgRh2Au after structural relaxation. Source: Alexandria, functional GGA-PBE.

POSCAR file:
```
HgRh2Au
1.0
-2.091 2.091 3.832
2.091 -2.091 3.832
2.091 2.091 -3.832
Rh Au Hg
2 1 1
direct
0.250 0.750 0.500
0.750 0.250 0.500
0.500 0.500 0.000
0.000 0.000 0.000
```

Symmetry   I4/mmm, No. 139
ΔE_f   233 meV/atom

---

(11)
HgRhAu2 after structural relaxation. Source: Alexandria, functional GGA-PBE.

POSCAR file:
```
HgRhAu2
1.0
4.933 0.000 0.000
0.000 3.032 -0.009
0.000 0.122 4.845
Rh Au Hg
1 2 1
direct
0.500 0.500 0.000
0.000 0.749 0.243
0.000 0.251 0.757
0.500 0.000 0.500
```

Symmetry   P2/m, No. 10
ΔE_f   178 meV/atom

---

(12)
HgRhAu2 after structural relaxation. Source: Alexandria, functional GGA-PBE.

POSCAR file:
```
HgRhAu2
1.0
-4.495 0.601 8.314
-3.699 -2.267 8.418
-1.788 -0.158 9.298
Hg Rh Au
1 1 2
direct
0.503 0.503 0.503
0.251 0.251 0.251
0.997 0.997 0.997
0.748 0.748 0.748
```

Symmetry   R3m, No. 160
ΔE_f   174 meV/atom